# 1
CoAgN2 GGA-PBE relaxed; polymorph energy (0 for the lowest one) = 20 meV per atom
1.0
-4.1711 -0.6866 4.8531
-1.8096 -1.9077 5.8744
-2.1218 0.9200 6.0062
N Ag Co
2 1 1
Direct
0.8870 0.8870 0.8870 N
0.1130 0.1130 0.1130 N
0.0000 0.0000 0.0000 Ag
0.5000 0.5000 0.5000 Co

# 2
Co2AgN3: relaxed, GGA-PBE.

The structure in POSCAR format:
```
Co2AgN3
1.0
1.4205 -2.4604 0.0000
1.4205 2.4604 0.0000
0.0000 0.0000 25.9671
Co Ag N
6 3 9
Direct
0.3439 0.0313 0.1166 Co
0.0313 0.3439 0.8834 Co
0.9687 0.3126 0.4500 Co
0.6874 0.6561 0.7833 Co
0.6561 0.6874 0.2167 Co
0.3126 0.9687 0.5500 Co
0.6749 0.6749 0.0000 Ag
0.0000 0.3251 0.6667 Ag
0.3251 0.0000 0.3333 Ag
0.3264 0.0093 0.2504 N
0.2786 0.0000 0.8333 N
0.6736 0.6829 0.0830 N
0.0093 0.3264 0.7496 N
0.0000 0.2786 0.1667 N
0.7214 0.7214 0.5000 N
0.3171 0.9907 0.4163 N
0.9907 0.3171 0.5837 N
0.6829 0.6736 0.9170 N
```

# 3
CoAgN2 GGA-PBE relaxed; polymorph energy (0 for the lowest one) = 0 meV per atom
1.0
-4.9081 -0.5665 -0.4861
0.7096 -2.5371 -4.2079
-1.9153 -4.9097 -0.2914
N Co Ag
4 2 2
Direct
0.8750 0.7878 0.7500 N
0.3750 0.4622 0.7500 N
0.2122 0.6250 0.2500 N
0.5378 0.1250 0.2500 N
0.2500 0.7500 0.5000 Co
0.5000 0.5000 0.0000 Co
0.7500 0.2500 0.5000 Ag
0.0000 0.0000 0.0000 Ag

# 4
Na2CoAgN: relaxed, GGA-PBE.

The structure in POSCAR format:
```
Na2CoAgN
1.0
-0.6866 1.5722 4.7855
-0.5956 -4.8212 1.4985
3.3800 -0.2421 0.5645
Na N Ag Co
2 1 1 1
Direct
0.0000 0.5000 0.0000 Na
0.5000 0.0000 0.0000 Na
0.0000 0.0000 0.0000 N
0.5000 0.5000 0.5000 Ag
0.0000 0.0000 0.5000 Co
```

# 5
NbCo2AgN: relaxed, GGA-PBE.

The structure in POSCAR format:
```
NbCo2AgN
1.0
4.6509 0.0000 0.0000
0.0000 3.7683 0.0000
0.0000 0.0000 4.6509
Nb Ag Co N
1 1 2 1
Direct
0.5000 0.5000 0.5000 Nb
0.0000 0.0000 0.0000 Ag
0.5000 0.0000 0.0000 Co
0.0000 0.0000 0.5000 Co
0.0000 0.5000 0.0000 N
```

Number 1: total energy -0.2179 Ha/atom, formation energy (no corrections) 0.723 eV per atom. Number 2: total energy -0.2374 Ha/atom, formation energy (no corrections) 0.546 eV per atom. Number 3: total energy -0.2186 Ha/atom, formation energy (no corrections) 0.704 eV per atom. Number 4: total energy -0.1509 Ha/atom, formation energy (no corrections) 0.079 eV per atom. Number 5: total energy -0.1905 Ha/atom, formation energy (no corrections) 1.907 eV per atom.